i | {
  "formula": "CdIrOF2",
  "functional": "GGA-PBE",
  "state": "relaxed",
  "n_ef_per_ev_atom": 0.1624,
  "magmom_total_mub_per_fu": 3.0,
  "spacegroup": "No. 123",
  "lattice": [[4.271, 0.000, 0.000], [0.000, 4.271, 0.000], [0.000, 0.000, 4.394]],
  "species": ["Cd", "Ir", "O", "F", "F"],
  "fractional_positions": [[0.000, 0.000, 0.000], [0.500, 0.500, 0.500], [0.000, 0.000, 0.500], [0.000, 0.500, 0.000], [0.500, 0.000, 0.000]]
}

=====

ii | {
  "formula": "CdIrOF2",
  "functional": "GGA-PBE",
  "state": "relaxed",
  "n_ef_per_ev_atom": 0.8060,
  "magmom_total_mub_per_fu": 0.0,
  "spacegroup": "No. 123",
  "lattice": [[4.531, 0.000, 0.000], [0.000, 4.531, 0.000], [0.000, 0.000, 3.713]],
  "species": ["Cd", "Ir", "O", "F", "F"],
  "fractional_positions": [[0.000, 0.000, 0.000], [0.500, 0.500, 0.500], [0.500, 0.500, 0.000], [0.000, 0.500, 0.500], [0.500, 0.000, 0.500]]
}

=====

Comparing the structures above, ii comes out on top by 74.1 kJ/mol of atoms.